(1)
The following is a DFT calculation (PBE) of crystalline SmH2SO5F at its relaxed geometry.

Size of the total moment   0.000 μB per atom
ρ   4.6 g/cm³
Crystal system   monoclinic
Electronic total energy   -62.70 eV/f.u.
Volume   10.29 Å³ per atom

Lattice parameters (Å, degrees): 4.8790 7.3269 12.1425 90.00 108.58 90.00
Last column: nearest neighbours and their distance in Å.
Space group P2_1/c (No. 14)
Asymmetric unit:
Sm (0.0350, 0.2326, 0.3166) [4 per cell]  2 F 2.31-2.32, 6 O 2.34-2.53
H (0.2521, 0.6118, 0.5038) [4 per cell]  1 O 0.98
H (0.3082, 0.0214, 0.1107) [4 per cell]  1 O 0.98
S (0.4064, 0.1287, 0.6172) [4 per cell]  4 O 1.46-1.50
O (0.2245, 0.5330, 0.1023) [4 per cell]  1 S 1.46
O (0.2440, 0.6022, 0.5832) [4 per cell]  2 H 0.98
O (0.2813, 0.5742, 0.8341) [4 per cell]  1 S 1.50
O (0.3484, 0.2383, 0.1996) [4 per cell]  1 S 1.49
O (0.3615, 0.2230, 0.5057) [4 per cell]  1 S 1.47
F (0.1806, 0.5355, 0.3348) [4 per cell]  1 H 2.05



(2)
The following is a DFT calculation (PBE) of crystalline ZnH4O2F2 at its relaxed geometry.

ρ   3.3 g/cm³
Crystal system   monoclinic
Electronic total energy   -41.42 eV/f.u.
Volume   7.80 Å³ per atom

Lattice parameters (Å, degrees): 6.2060 7.4769 3.0906 90.00 101.86 90.00
Last column: nearest neighbours and their distance in Å.
Space group C2/m (No. 12)
Asymmetric unit:
Zn (0.0000, 0.0000, 0.0000) [2 per cell]  2 O 1.98, 4 F 2.07-2.12
H (0.1094, 0.3422, 0.1920) [8 per cell]  1 O 0.99
O (0.0000, 0.2644, 0.0000) [4 per cell]  2 H 0.99
F (0.2329, 0.0000, 0.5839) [4 per cell]  2 H 1.60



(3)
The following is a DFT calculation (PBE) of crystalline ZnHOF at its relaxed geometry.

Relative energy among the computed polymorphs   0.0 meV/atom
ρ   4.4 g/cm³
Crystal system   monoclinic
Volume   9.52 Å³ per atom

Lattice parameters (Å, degrees): 5.0014 6.2161 5.3414 90.00 113.44 90.00
Last column: nearest neighbours and their distance in Å.
Space group P2_1/c (No. 14)
Asymmetric unit:
Zn (0.0152, 0.1225, 0.2656) [4 per cell]  3 O 1.98-2.03, 3 F 2.13-2.17
H (0.4251, 0.1277, 0.7545) [4 per cell]  1 O 0.99
O (0.2089, 0.1276, 0.6794) [4 per cell]  1 H 0.99
F (0.2474, 0.6251, 0.6636) [4 per cell]  1 H 1.52



(4)
The following is a DFT calculation (PBE) of crystalline ZnHOF at its relaxed geometry.

Relative energy among the computed polymorphs   23.7 meV/atom
ρ   4.6 g/cm³
Crystal system   hexagonal
Volume   9.23 Å³ per atom

Lattice parameters (Å, degrees): 3.1312 3.1312 8.6967 90.00 90.00 120.00
Last column: nearest neighbours and their distance in Å.
Space group P6_3mc (No. 186)
Asymmetric unit:
Zn (0.3333, 0.6667, 0.0000) [2 per cell]  3 O 2.00, 3 F 2.18
H (0.0000, 0.0000, 0.2099) [2 per cell]  1 O 0.98
O (0.0000, 0.0000, 0.0977) [2 per cell]  1 H 0.98
F (0.3333, 0.6667, 0.3595) [2 per cell]  3 Zn 2.18, 3 H 2.23



(5)
The following is a DFT calculation (PBE) of crystalline ZrH6O3F4 at its relaxed geometry.

Size of the total moment   0.000 μB per atom
ρ   3.1 g/cm³
Crystal system   monoclinic
Electronic total energy   -78.65 eV/f.u.
Volume   8.46 Å³ per atom

Lattice parameters (Å, degrees): 6.6589 9.8709 7.4200 90.00 103.76 90.00
Last column: nearest neighbours and their distance in Å.
Space group P2_1/c (No. 14)
Asymmetric unit:
Zr (0.2407, 0.0397, 0.4595) [4 per cell]  6 F 2.09-2.15, 2 O 2.16-2.17
H (0.1151, 0.6212, 0.3995) [4 per cell]  1 O 1.00
H (0.2343, 0.1941, 0.0775) [4 per cell]  1 O 1.00
H (0.2814, 0.6324, 0.6570) [4 per cell]  1 O 1.01
H (0.2831, 0.7290, 0.8443) [4 per cell]  1 O 1.01
H (0.3000, 0.1882, 0.8841) [4 per cell]  1 O 1.00
H (0.3206, 0.5575, 0.3810) [4 per cell]  1 O 0.99
O (0.2623, 0.6349, 0.7883) [4 per cell]  2 H 1.01
O (0.2679, 0.6323, 0.4447) [4 per cell]  2 H 0.99-1.00
O (0.3079, 0.2462, 0.9969) [4 per cell]  2 H 1.00
F (0.0624, 0.6167, 0.0465) [4 per cell]  2 Zr 2.14-2.15
F (0.1234, 0.1035, 0.1862) [4 per cell]  2 H 1.51-1.57
F (0.2595, 0.0843, 0.7382) [4 per cell]  1 H 1.47
F (0.4823, 0.5806, 0.1284) [4 per cell]  2 Zr 2.14-2.15, 1 H 2.38



(6)
The following is a DFT calculation (PBE) of crystalline Tm2PHF10 at its relaxed geometry.

Size of the total moment   0.000 μB per atom
ρ   6.5 g/cm³
Crystal system   triclinic
Electronic total energy   -76.88 eV/f.u.
Volume   10.24 Å³ per atom

Lattice parameters (Å, degrees): 4.2491 4.3548 7.9782 91.47 103.04 94.19
Last column: nearest neighbours and their distance in Å.
Space group P-1 (No. 2)
Asymmetric unit:
Tm (0.0874, 0.0022, 0.2826) [2 per cell]  6 F 2.18-2.34
P (0.5000, 0.5000, 0.0000) [1 per cell]  6 F 1.93-1.95
H (0.5000, 0.5000, 0.5000) [1 per cell]  2 F 1.14
F (0.1235, 0.2510, 0.0310) [2 per cell]  1 P 1.93
F (0.2353, 0.6096, 0.7797) [2 per cell]  1 P 1.95
F (0.2748, 0.0096, 0.5611) [2 per cell]  2 Tm 2.18-2.19, 3 F 2.31-2.35, 1 H 2.38
F (0.2902, 0.4895, 0.3810) [2 per cell]  1 H 1.14
F (0.4743, 0.8534, 0.1507) [2 per cell]  1 P 1.95



(7)
The following is a DFT calculation (PBE) of crystalline PaHF6 at its relaxed geometry.

Size of the total moment   0.000 μB per atom
ρ   6.1 g/cm³
Crystal system   monoclinic
Electronic total energy   -49.03 eV/f.u.
Volume   11.77 Å³ per atom

Lattice parameters (Å, degrees): 5.0463 7.9813 4.7005 90.00 95.90 90.00
Last column: nearest neighbours and their distance in Å.
Space group C2/m (No. 12)
Asymmetric unit:
Pa (0.0000, 0.0000, 0.0000) [2 per cell]  6 F 2.05-2.22
H (0.0000, 0.5000, 0.5000) [2 per cell]  2 F 1.13
F (0.1175, 0.5000, 0.7191) [4 per cell]  1 H 1.13
F (0.1628, 0.1740, 0.7478) [8 per cell]  1 Pa 2.05



(8)
The following is a DFT calculation (PBE) of crystalline PmHF2 at its relaxed geometry.

Size of the total moment   0.001 μB per atom
ρ   7.1 g/cm³
Crystal system   tetragonal
Electronic total energy   -22.67 eV/f.u.
Volume   10.70 Å³ per atom

Lattice parameters (Å, degrees): 3.6243 3.6243 6.5155 90.00 90.00 90.00
Last column: nearest neighbours and their distance in Å.
Space group I4/mmm (No. 139)
Asymmetric unit:
Pm (0.0000, 0.0000, 0.0000) [2 per cell]  8 F 2.44, 4 H 2.56
H (0.0000, 0.0000, 0.5000) [2 per cell]  8 F 2.44, 4 Pm 2.56
F (0.0000, 0.5000, 0.2500) [4 per cell]  4 H 2.44, 4 Pm 2.44, 4 F 2.56



(9)
The following is a DFT calculation (PBE) of crystalline PuHF6 at its relaxed geometry.

Size of the total moment   0.375 μB per atom
ρ   6.9 g/cm³
Crystal system   triclinic
Electronic total energy   -49.78 eV/f.u.
Volume   10.75 Å³ per atom

Lattice parameters (Å, degrees): 4.6396 4.6957 4.7380 61.55 81.42 71.33
Last column: nearest neighbours and their distance in Å.
Space group P-1 (No. 2)
Asymmetric unit:
Pu (0.0000, 0.0000, 0.0000) [1 per cell]  6 F 1.98-2.20
H (0.5000, 0.5000, 0.5000) [1 per cell]  2 F 1.14
F (0.2537, 0.9168, 0.6559) [2 per cell]  1 Pu 1.98
F (0.2635, 0.2617, 0.0111) [2 per cell]  1 Pu 2.01
F (0.2821, 0.5411, 0.3836) [2 per cell]  1 H 1.14



(10)
The following is a DFT calculation (PBE) of crystalline HfF4 at its relaxed geometry.

Size of the total moment   0.000 μB per atom
ρ   7.7 g/cm³
Crystal system   orthorhombic
Electronic total energy   -35.96 eV/f.u.
Volume   10.93 Å³ per atom

Lattice parameters (Å, degrees): 9.0073 9.1049 5.3307 90.00 90.00 90.00
Last column: nearest neighbours and their distance in Å.
Space group Fdd2 (No. 43)
Asymmetric unit:
Hf (0.0000, 0.0000, 0.0000) [8 per cell]  8 F 2.03-2.14
F (0.0900, 0.3998, 0.1713) [16 per cell]  2 Hf 2.03-2.14
F (0.1018, 0.0886, 0.3285) [16 per cell]  2 Hf 2.03-2.14



(11)
The following is a DFT calculation (PBE) of crystalline HfF2 at its relaxed geometry.

Relative energy among the computed polymorphs   1385.8 meV/atom
Size of the total moment   0.651 μB per atom
ρ   10.0 g/cm³
Crystal system   cubic
Volume   11.93 Å³ per atom

Lattice parameters (Å, degrees): 6.5911 6.5911 6.5911 90.00 90.00 90.00
Last column: nearest neighbours and their distance in Å.
Space group Fd-3m (No. 227, origin choice 2)
Asymmetric unit:
Hf (0.1250, 0.1250, 0.1250) [8 per cell]  12 F 2.73, 4 Hf 2.85
F (0.0000, 0.0000, 0.5000) [16 per cell]  6 F 2.33



(12)
The following is a DFT calculation (PBE) of crystalline HfF4 at its relaxed geometry.

Size of the total moment   0.000 μB per atom
ρ   7.3 g/cm³
Crystal system   monoclinic
Electronic total energy   -36.26 eV/f.u.
Volume   11.50 Å³ per atom

Lattice parameters (Å, degrees): 11.5838 9.7844 7.5742 90.00 126.51 90.00
Last column: nearest neighbours and their distance in Å.
Space group C2/c (No. 15)
Asymmetric unit:
Hf (0.0000, 0.2132, 0.2500) [4 per cell]  8 F 2.05-2.13
Hf (0.2060, 0.4278, 0.8336) [8 per cell]  8 F 2.03-2.11
F (0.0000, 0.3884, 0.7500) [4 per cell]  2 Hf 2.11
F (0.1131, 0.2878, 0.5773) [8 per cell]  2 Hf 2.08-2.13
F (0.1136, 0.0487, 0.4513) [8 per cell]  2 Hf 2.06-2.09
F (0.1189, 0.3796, 0.2826) [8 per cell]  2 Hf 2.05-2.06
F (0.1206, 0.1553, 0.1439) [8 per cell]  2 Hf 2.06-2.08
F (0.2137, 0.4692, 0.1086) [8 per cell]  2 Hf 2.03-2.07
F (0.2500, 0.2500, 0.0000) [4 per cell]  2 Hf 2.03



- What is the volume in the second record?
  7.80 Å³ per atom



- What is the formula in the ninth record?
  PuHF6



Repeat the second record exactly.
The following is a DFT calculation (PBE) of crystalline ZnH4O2F2 at its relaxed geometry.

ρ   3.3 g/cm³
Crystal system   monoclinic
Electronic total energy   -41.42 eV/f.u.
Volume   7.80 Å³ per atom

Lattice parameters (Å, degrees): 6.2060 7.4769 3.0906 90.00 101.86 90.00
Last column: nearest neighbours and their distance in Å.
Space group C2/m (No. 12)
Asymmetric unit:
Zn (0.0000, 0.0000, 0.0000) [2 per cell]  2 O 1.98, 4 F 2.07-2.12
H (0.1094, 0.3422, 0.1920) [8 per cell]  1 O 0.99
O (0.0000, 0.2644, 0.0000) [4 per cell]  2 H 0.99
F (0.2329, 0.0000, 0.5839) [4 per cell]  2 H 1.60



- What is the volume in the tenth record?
  10.93 Å³ per atom